Entry from the Alexandria database: a relaxed structure of K5US6 (PBE).

The final energy is -4.658 eV/atom. Its density is 2.83 Mg/m³.

Lattice parameters (Å, degrees): 7.759 13.313 7.599 90.00 110.64 90.00
Space group C2/m (No. 12)
Inequivalent atoms, fractional coordinates:
K: 0.000 0.000 0.000
K: 0.000 0.167 0.500
K: 0.000 0.326 0.000
U: 0.000 0.500 0.500
S: 0.199 0.500 0.294
S: 0.207 0.363 0.712